Computed, not measured: a geometry-optimized InTc2Ag structure at the PBE level of DFT. Values from VASP.

Results
The value obtained for the density is 10.3 Mg/m³. Its formation energy from the elements is 548 meV/atom. Its crystal system is orthorhombic. The density of states at the Fermi level is 5.8 states/eV/f.u. The calculation puts the total magnetization at 0.0016 μB per atom.

The structure in Quantum ESPRESSO input format:
```
&SYSTEM
  ibrav = 0, nat = 4, ntyp = 3
/
ATOMIC_SPECIES
Ag 107.87 Ag.upf
Tc 98.00 Tc.upf
In 114.82 In.upf
CELL_PARAMETERS angstrom
5.117 -0.007 0.000
-2.323 4.560 0.000
0.000 0.000 2.882
ATOMIC_POSITIONS crystal
Ag 0.500 0.000 0.500
Tc 0.000 0.000 0.000
Tc 0.500 0.500 0.000
In 0.000 0.500 0.500
```


Computed, not measured: a geometry-optimized In2Tc2Ag structure at the PBE level of DFT. Values from VASP.

Results
The value obtained for the density is 9.3 Mg/m³. Its formation energy from the elements is 382 meV/atom. Its crystal system is tetragonal. The density of states at the Fermi level is 7.7 states/eV/f.u. The calculation puts the total magnetization at 0.0000 μB per atom.

The structure in Quantum ESPRESSO input format:
```
&SYSTEM
  ibrav = 0, nat = 10, ntyp = 3
/
ATOMIC_SPECIES
Tc 98.00 Tc.upf
Ag 107.87 Ag.upf
In 114.82 In.upf
CELL_PARAMETERS angstrom
-7.219 0.867 -0.027
-0.866 -7.195 0.582
0.021 0.287 3.580
ATOMIC_POSITIONS crystal
Tc 0.117 0.383 0.000
Ag 0.000 0.000 0.000
In 0.321 0.179 0.500
Tc 0.383 0.883 0.000
In 0.179 0.679 0.500
Ag 0.500 0.500 0.000
In 0.821 0.321 0.500
In 0.679 0.821 0.500
Tc 0.883 0.617 0.000
Tc 0.617 0.117 0.000
```


Computed, not measured: a geometry-optimized InTc2Ag structure at the PBE level of DFT. Values from VASP.

Results
The value obtained for the density is 10.4 Mg/m³. Its formation energy from the elements is 682 meV/atom. Its crystal system is tetragonal. The density of states at the Fermi level is 3.3 states/eV/f.u. The calculation puts the total magnetization at 0.0000 μB per atom.

The structure in Quantum ESPRESSO input format:
```
&SYSTEM
  ibrav = 0, nat = 4, ntyp = 3
/
ATOMIC_SPECIES
Tc 98.00 Tc.upf
In 114.82 In.upf
Ag 107.87 Ag.upf
CELL_PARAMETERS angstrom
-1.591 1.344 -2.451
-1.511 -2.787 -0.548
-4.705 1.761 4.019
ATOMIC_POSITIONS crystal
Tc 0.000 0.000 0.492
Tc 0.000 0.000 0.008
In 0.500 0.500 0.750
Ag 0.500 0.500 0.250
```


Computed, not measured: a geometry-optimized InTc2Ag structure at the PBE level of DFT. Values from VASP.

Results
The value obtained for the density is 10.0 Mg/m³. Its formation energy from the elements is 148 meV/atom. Its crystal system is tetragonal. The density of states at the Fermi level is 1.8 states/eV/f.u. The calculation puts the total magnetization at 0.0000 μB per atom.

The structure in Quantum ESPRESSO input format:
```
&SYSTEM
  ibrav = 0, nat = 4, ntyp = 3
/
ATOMIC_SPECIES
Ag 107.87 Ag.upf
In 114.82 In.upf
Tc 98.00 Tc.upf
CELL_PARAMETERS angstrom
-1.099 2.758 0.152
-0.586 -0.393 2.887
7.113 2.735 1.816
ATOMIC_POSITIONS crystal
Ag 0.000 0.000 0.486
In 0.500 0.500 0.766
Tc 0.500 0.500 0.216
Tc 0.000 0.000 0.032
```


Computed, not measured: a geometry-optimized InTcAg2 structure at the PBE level of DFT. Values from VASP.

Results
The value obtained for the density is 9.1 Mg/m³. Its formation energy from the elements is 598 meV/atom. Its crystal system is tetragonal. The density of states at the Fermi level is 3.0 states/eV/f.u. The calculation puts the total magnetization at 0.4058 μB per atom.

The structure in Quantum ESPRESSO input format:
```
&SYSTEM
  ibrav = 0, nat = 8, ntyp = 3
/
ATOMIC_SPECIES
Tc 98.00 Tc.upf
Ag 107.87 Ag.upf
In 114.82 In.upf
CELL_PARAMETERS angstrom
-2.459 -2.767 1.267
2.578 -2.759 -1.022
4.301 -2.258 9.461
ATOMIC_POSITIONS crystal
Tc 0.500 0.500 0.000
Ag 0.129 0.625 0.250
Ag 0.375 0.379 0.750
Ag 0.875 0.871 0.750
Tc 0.250 0.750 0.500
Ag 0.621 0.125 0.250
In 0.750 0.250 0.500
In 0.000 0.000 0.000
```


Computed, not measured: a geometry-optimized InTcAg2 structure at the PBE level of DFT. Values from VASP.

Results
The value obtained for the density is 10.0 Mg/m³. Its formation energy from the elements is 424 meV/atom. Its crystal system is orthorhombic. The density of states at the Fermi level is 3.9 states/eV/f.u. The calculation puts the total magnetization at 0.0019 μB per atom.

The structure in Quantum ESPRESSO input format:
```
&SYSTEM
  ibrav = 0, nat = 4, ntyp = 3
/
ATOMIC_SPECIES
In 114.82 In.upf
Tc 98.00 Tc.upf
Ag 107.87 Ag.upf
CELL_PARAMETERS angstrom
-1.036 -1.645 2.030
4.098 -1.042 1.247
0.030 4.466 3.635
ATOMIC_POSITIONS crystal
In 0.500 0.500 0.250
Tc 0.500 0.500 0.750
Ag 0.000 0.000 0.988
Ag 0.000 0.000 0.512
```


Computed, not measured: a geometry-optimized InTcAg2 structure at the PBE level of DFT. Values from VASP.

Results
The value obtained for the density is 10.0 Mg/m³. Its formation energy from the elements is 336 meV/atom. Its crystal system is tetragonal. The density of states at the Fermi level is 3.1 states/eV/f.u. The calculation puts the total magnetization at 0.1485 μB per atom.

The structure in Quantum ESPRESSO input format:
```
&SYSTEM
  ibrav = 0, nat = 4, ntyp = 3
/
ATOMIC_SPECIES
Ag 107.87 Ag.upf
In 114.82 In.upf
Tc 98.00 Tc.upf
CELL_PARAMETERS angstrom
-1.390 2.446 -0.680
-1.508 -1.420 -2.021
-6.009 -1.815 5.759
ATOMIC_POSITIONS crystal
Ag 0.500 0.500 0.243
In 0.000 0.000 0.512
Ag 0.000 0.000 0.991
Tc 0.500 0.500 0.754
```


Computed, not measured: a geometry-optimized In2TcAg structure at the PBE level of DFT. Values from VASP.

Results
The value obtained for the density is 9.2 Mg/m³. Its formation energy from the elements is 413 meV/atom. Its crystal system is trigonal. The density of states at the Fermi level is 2.5 states/eV/f.u. The calculation puts the total magnetization at 0.2249 μB per atom.

The structure in Quantum ESPRESSO input format:
```
&SYSTEM
  ibrav = 0, nat = 4, ntyp = 3
/
ATOMIC_SPECIES
In 114.82 In.upf
Ag 107.87 Ag.upf
Tc 98.00 Tc.upf
CELL_PARAMETERS angstrom
9.685 -0.043 -0.025
9.204 3.013 -0.025
9.204 1.447 2.643
ATOMIC_POSITIONS crystal
In 0.004 0.004 0.004
In 0.243 0.243 0.243
Ag 0.754 0.754 0.754
Tc 0.499 0.499 0.499
```


Computed, not measured: a geometry-optimized InTc2Ag structure at the PBE level of DFT. Values from VASP.

Results
The value obtained for the density is 10.4 Mg/m³. Its formation energy from the elements is 368 meV/atom. Its crystal system is monoclinic. The density of states at the Fermi level is 3.7 states/eV/f.u. The calculation puts the total magnetization at 0.0005 μB per atom.

The structure in Quantum ESPRESSO input format:
```
&SYSTEM
  ibrav = 0, nat = 4, ntyp = 3
/
ATOMIC_SPECIES
Ag 107.87 Ag.upf
Tc 98.00 Tc.upf
In 114.82 In.upf
CELL_PARAMETERS angstrom
-1.074 -4.377 1.688
-0.581 -4.635 -1.157
4.743 -1.609 0.969
ATOMIC_POSITIONS crystal
Ag 0.499 0.499 0.489
Tc 0.004 0.004 0.963
Tc 0.745 0.745 0.785
In 0.253 0.253 0.264
```


Computed, not measured: a geometry-optimized InTc2Ag structure at the PBE level of DFT. Values from VASP.

Results
The value obtained for the density is 9.3 Mg/m³. Its formation energy from the elements is 992 meV/atom. Its crystal system is tetragonal. The density of states at the Fermi level is 4.5 states/eV/f.u. The calculation puts the total magnetization at 0.5419 μB per atom.

The structure in Quantum ESPRESSO input format:
```
&SYSTEM
  ibrav = 0, nat = 8, ntyp = 3
/
ATOMIC_SPECIES
In 114.82 In.upf
Ag 107.87 Ag.upf
Tc 98.00 Tc.upf
CELL_PARAMETERS angstrom
7.561 0.000 0.000
0.000 7.561 0.000
3.781 3.781 2.616
ATOMIC_POSITIONS crystal
In 0.750 0.250 0.500
Ag 0.250 0.750 0.500
Ag 0.500 0.500 0.000
Tc 0.127 0.625 0.250
Tc 0.875 0.873 0.750
In 0.000 0.000 0.000
Tc 0.375 0.377 0.750
Tc 0.623 0.125 0.250
```


Computed, not measured: a geometry-optimized In2TcAg structure at the PBE level of DFT. Values from VASP.

Results
The value obtained for the density is 8.4 Mg/m³. Its formation energy from the elements is 623 meV/atom. Its crystal system is tetragonal. The density of states at the Fermi level is 2.1 states/eV/f.u. The calculation puts the total magnetization at 0.3064 μB per atom.

The structure in Quantum ESPRESSO input format:
```
&SYSTEM
  ibrav = 0, nat = 8, ntyp = 3
/
ATOMIC_SPECIES
Ag 107.87 Ag.upf
Tc 98.00 Tc.upf
In 114.82 In.upf
CELL_PARAMETERS angstrom
4.263 0.000 0.000
0.000 4.263 0.000
2.132 2.132 9.448
ATOMIC_POSITIONS crystal
Ag 0.000 0.000 0.000
Tc 0.500 0.500 0.000
In 0.138 0.625 0.250
Ag 0.750 0.250 0.500
Tc 0.250 0.750 0.500
In 0.875 0.862 0.750
In 0.375 0.388 0.750
In 0.612 0.125 0.250
```


Computed, not measured: a geometry-optimized InTc4Ag structure at the PBE level of DFT. Values from VASP.

Results
The value obtained for the density is 10.2 Mg/m³. Its formation energy from the elements is 474 meV/atom. Its crystal system is cubic. The density of states at the Fermi level is 6.6 states/eV/f.u. The calculation puts the total magnetization at 0.0000 μB per atom.

The structure in Quantum ESPRESSO input format:
```
&SYSTEM
  ibrav = 0, nat = 6, ntyp = 3
/
ATOMIC_SPECIES
Tc 98.00 Tc.upf
Ag 107.87 Ag.upf
In 114.82 In.upf
CELL_PARAMETERS angstrom
-4.391 0.829 2.697
-4.308 1.619 -2.462
-4.058 -3.235 -0.560
ATOMIC_POSITIONS crystal
Tc 0.873 0.376 0.376
Tc 0.376 0.376 0.873
Ag 0.750 0.750 0.750
Tc 0.376 0.376 0.376
Tc 0.376 0.873 0.376
In 0.000 0.000 0.000
```